TcP, optimized geometry, DFT PBE; ΔH_f (0 K) = 0.01 eV/atom; Fermi-level density of states = 1.63 states/eV/f.u.
1.0
4.1370 0.0000 0.0000
0.0000 4.1370 0.0000
0.0000 0.0000 5.1012
Tc P
2 2
Direct
0.2500 0.7500 0.0000
0.7500 0.2500 0.0000
0.2500 0.2500 0.2077
0.7500 0.7500 0.7923

=====

TcP2, optimized geometry, DFT PBE; ΔH_f (0 K) = 0.26 eV/atom; Fermi-level density of states = 2.03 states/eV/f.u.
1.0
-1.7655 1.7655 13.7215
1.7655 -1.7655 13.7215
1.7655 1.7655 -13.7215
Tc P
4 8
Direct
0.2888 0.5388 0.7500
0.4612 0.7112 0.7500
0.5388 0.2888 0.2500
0.7112 0.4612 0.2500
0.0305 0.7805 0.2500
0.1167 0.3667 0.7500
0.2195 0.9695 0.2500
0.3667 0.1167 0.2500
0.6333 0.8833 0.7500
0.7805 0.0305 0.7500
0.8833 0.6333 0.2500
0.9695 0.2195 0.7500

=====

The offset from the most stable computed form results, record by record, are as follows: 583.2, 652.6 meV per atom.
The calculated volume results, record by record, are as follows: 87.3, 171.1 Å³ per cell.